i.
# PuVPd2

An optimized crystal structure of PuVPd2 (PBE-GGA, the Alexandria database).

Calculated values
SG = No. 225
total magnetic moment = 2.0886 μB per atom

Unit cell a=4.739 b=4.739 c=4.739 alpha=60.00 beta=60.00 gamma=60.00
Each line ends with the local moment (μB).
Positions (direct):
Pd 0.250 0.250 0.250  0.08
Pd 0.750 0.750 0.750  0.08
V 0.000 0.000 0.000  2.36
Pu 0.500 0.500 0.500  5.14



ii.
# PuVPd2

An optimized crystal structure of PuVPd2 (PBE-GGA, the Alexandria database).

Calculated values
SG = No. 123
total magnetic moment = 1.4778 μB per atom

Unit cell a=2.894 b=2.894 c=8.207 alpha=90.00 beta=90.00 gamma=90.00
Each line ends with the local moment (μB).
Positions (direct):
V 0.500 0.500 0.000  0.17
Pd 0.000 0.000 0.210  0.06
Pd 0.000 0.000 0.790  0.06
Pu 0.500 0.500 0.500  5.49



Verdict on stability: i comes out at the bottom.



i.
# YPuPd4

An optimized crystal structure of YPuPd4 (PBE-GGA, the Alexandria database).

Calculated values
SG = No. 191
total magnetic moment = 0.8668 μB per atom

Unit cell a=4.523 b=4.523 c=6.931 alpha=90.00 beta=90.00 gamma=120.00
Each line ends with the local moment (μB).
Positions (direct):
Pd 0.667 0.333 0.752  -0.06
Pd 0.333 0.667 0.752  -0.06
Pd 0.667 0.333 0.248  -0.06
Pd 0.333 0.667 0.248  -0.06
Pu 0.000 0.000 0.000  5.12
Y 0.000 0.000 0.500  0.06



ii.
# YPuPd4

An optimized crystal structure of YPuPd4 (PBE-GGA, the Alexandria database).

Calculated values
SG = No. 216
total magnetic moment = 0.8936 μB per atom

Unit cell a=5.457 b=5.457 c=5.457 alpha=60.00 beta=60.00 gamma=60.00
Each line ends with the local moment (μB).
Positions (direct):
Pd 0.126 0.625 0.625  -0.07
Pd 0.625 0.625 0.126  -0.07
Pd 0.625 0.126 0.625  -0.07
Pd 0.625 0.625 0.625  -0.07
Y 0.000 0.000 0.000  0.11
Pu 0.250 0.250 0.250  5.27



Verdict on stability: i comes out at the bottom.



i.
# Y2PuPd

An optimized crystal structure of Y2PuPd (PBE-GGA, the Alexandria database).

Calculated values
SG = No. 225
total magnetic moment = 1.7790 μB per atom

Unit cell a=5.221 b=5.221 c=5.218 alpha=59.98 beta=59.98 gamma=60.00
Each line ends with the local moment (μB).
Positions (direct):
Y 0.250 0.250 0.250  0.30
Y 0.750 0.750 0.750  0.30
Pd 0.500 0.500 0.500  0.11
Pu 0.000 0.000 0.000  5.78



ii.
# Y2PuPd

An optimized crystal structure of Y2PuPd (PBE-GGA, the Alexandria database).

Calculated values
SG = No. 123
total magnetic moment = 1.7303 μB per atom

Unit cell a=3.524 b=3.524 c=8.439 alpha=90.00 beta=90.00 gamma=90.00
Each line ends with the local moment (μB).
Positions (direct):
Y 0.000 0.000 0.797  0.18
Y 0.000 0.000 0.203  0.18
Pd 0.500 0.500 0.000  0.01
Pu 0.500 0.500 0.500  5.67



Verdict on stability: i comes out at the bottom.



i.
# YPuPd

An optimized crystal structure of YPuPd (PBE-GGA, the Alexandria database).

Calculated values
SG = No. 107
total magnetic moment = 2.1721 μB per atom

Unit cell a=3.539 b=3.539 c=6.495 alpha=105.81 beta=105.81 gamma=90.00
Each line ends with the local moment (μB).
Positions (direct):
Pu 0.021 0.021 0.042  5.55
Pd 0.672 0.672 0.345  0.04
Y 0.306 0.306 0.613  0.24



ii.
# YPuPd

An optimized crystal structure of YPuPd (PBE-GGA, the Alexandria database).

Calculated values
SG = No. 70
total magnetic moment = 2.1531 μB per atom

Unit cell a=6.088 b=5.893 c=10.199 alpha=81.13 beta=72.64 gamma=58.90
Each line ends with the local moment (μB).
Positions (direct):
Pu 0.167 0.500 0.665  5.61
Pu 0.417 0.000 0.165  5.61
Pu 0.583 0.000 0.835  5.61
Pu 0.333 0.500 0.335  5.61
Pd 0.876 0.000 0.247  0.04
Pd 0.626 0.500 0.747  0.04
Pd 0.874 0.500 0.253  0.04
Pd 0.124 0.000 0.753  0.04
Y 0.579 0.842 0.500  0.14
Y 0.829 0.342 0.000  0.14
Y 0.921 0.158 0.500  0.14
Y 0.171 0.658 0.000  0.14



Verdict on stability: i comes out at the bottom.



i.
# PuZn4Pd

An optimized crystal structure of PuZn4Pd (PBE-GGA, the Alexandria database).

Calculated values
SG = No. 216
total magnetic moment = 0.9543 μB per atom

Unit cell a=5.252 b=5.252 c=5.252 alpha=60.00 beta=60.00 gamma=60.00
Each line ends with the local moment (μB).
Positions (direct):
Zn 0.624 0.624 0.129  0.03
Zn 0.129 0.624 0.624  0.03
Zn 0.624 0.624 0.624  0.03
Zn 0.624 0.129 0.624  0.03
Pu 0.000 0.000 0.000  5.36
Pd 0.250 0.250 0.250  0.04



ii.
# PuZn4Pd

An optimized crystal structure of PuZn4Pd (PBE-GGA, the Alexandria database).

Calculated values
SG = No. 51
total magnetic moment = 0.9592 μB per atom

Unit cell a=2.844 b=8.239 c=8.806 alpha=90.00 beta=90.00 gamma=90.00
Each line ends with the local moment (μB).
Positions (direct):
Zn 0.500 0.297 0.522  0.01
Zn 0.000 0.000 0.500  -0.01
Zn 0.500 0.879 0.750  0.00
Zn 0.500 0.703 0.478  0.01
Zn 0.000 0.000 0.000  -0.01
Zn 0.500 0.297 0.978  0.01
Zn 0.500 0.703 0.022  0.01
Zn 0.500 0.121 0.250  0.00
Pd 0.000 0.836 0.250  0.02
Pd 0.000 0.164 0.750  0.02
Pu 0.000 0.540 0.750  5.52
Pu 0.000 0.460 0.250  5.52



Verdict on stability: i comes out at the bottom.



i.
# PuZnPd4

An optimized crystal structure of PuZnPd4 (PBE-GGA, the Alexandria database).

Calculated values
SG = No. 216
total magnetic moment = 0.7837 μB per atom

Unit cell a=5.335 b=5.335 c=5.335 alpha=60.00 beta=60.00 gamma=60.00
Each line ends with the local moment (μB).
Positions (direct):
Pd 0.626 0.626 0.626  -0.12
Pd 0.123 0.626 0.626  -0.12
Pd 0.626 0.123 0.626  -0.12
Pd 0.626 0.626 0.123  -0.12
Zn 0.000 0.000 0.000  0.00
Pu 0.250 0.250 0.250  5.02



ii.
# PuZnPd4

An optimized crystal structure of PuZnPd4 (PBE-GGA, the Alexandria database).

Calculated values
SG = No. 51
total magnetic moment = 0.8369 μB per atom

Unit cell a=4.051 b=6.972 c=7.483 alpha=90.00 beta=90.00 gamma=90.00
Each line ends with the local moment (μB).
Positions (direct):
Pu 0.000 0.654 0.750  5.04
Pu 0.000 0.346 0.250  5.04
Pd 0.500 0.690 0.454  -0.06
Pd 0.500 0.310 0.546  -0.06
Pd 0.500 0.043 0.250  -0.07
Pd 0.000 0.000 0.000  -0.05
Pd 0.500 0.310 0.954  -0.06
Pd 0.500 0.690 0.046  -0.06
Pd 0.000 0.000 0.500  -0.05
Pd 0.500 0.957 0.750  -0.07
Zn 0.000 0.767 0.250  0.01
Zn 0.000 0.233 0.750  0.01



Verdict on stability: i comes out at the bottom.



i.
# PuZrPd

An optimized crystal structure of PuZrPd (PBE-GGA, the Alexandria database).

Calculated values
SG = No. 107
total magnetic moment = 1.8504 μB per atom

Unit cell a=3.358 b=3.358 c=6.252 alpha=105.58 beta=105.58 gamma=90.00
Each line ends with the local moment (μB).
Positions (direct):
Pu 0.006 0.006 0.013  5.27
Zr 0.314 0.314 0.628  -0.03
Pd 0.680 0.680 0.360  0.01



ii.
# PuZrPd

An optimized crystal structure of PuZrPd (PBE-GGA, the Alexandria database).

Calculated values
SG = No. 156
total magnetic moment = 1.8646 μB per atom

Unit cell a=3.065 b=4.811 c=4.811 alpha=120.00 beta=90.00 gamma=90.00
Each line ends with the local moment (μB).
Positions (direct):
Pd 0.321 0.667 0.333  0.03
Pu 0.999 0.000 0.000  5.30
Zr 0.680 0.333 0.667  0.10



Verdict on stability: ii comes out at the bottom.



i.
# Rb4Pd

An optimized crystal structure of Rb4Pd (PBE-GGA, the Alexandria database).

Calculated values
SG = No. 221
total magnetic moment = 0.0000 μB per atom

Unit cell a=6.852 b=6.852 c=6.852 alpha=90.00 beta=90.00 gamma=90.00
Positions (direct):
Rb 0.000 0.500 0.500
Rb 0.500 0.500 0.000
Rb 0.500 0.000 0.500
Rb 0.000 0.000 0.000
Pd 0.500 0.500 0.500



ii.
# Rb4Pd

An optimized crystal structure of Rb4Pd (PBE-GGA, the Alexandria database).

Calculated values
SG = No. 124
total magnetic moment = 0.0000 μB per atom

Unit cell a=8.372 b=8.851 c=8.853 alpha=90.00 beta=90.00 gamma=90.00
Positions (direct):
Rb 0.000 0.221 0.660
Rb 0.500 0.340 0.779
Rb 0.000 0.660 0.779
Rb 0.500 0.779 0.660
Rb 0.500 0.660 0.221
Rb 0.000 0.340 0.221
Rb 0.500 0.221 0.340
Rb 0.000 0.779 0.340
Pd 0.750 0.500 0.500
Pd 0.250 0.500 0.500



Verdict on stability: ii comes out at the bottom.



i.
# RbRePd2

An optimized crystal structure of RbRePd2 (PBE-GGA, the Alexandria database).

Calculated values
SG = No. 122
total magnetic moment = 0.6885 μB per atom

Unit cell a=7.761 b=7.761 c=6.507 alpha=53.39 beta=53.39 gamma=90.00
Each line ends with the local moment (μB).
Positions (direct):
Pd 0.040 0.625 0.250  0.25
Pd 0.375 0.290 0.750  0.27
Pd 0.875 0.960 0.750  0.26
Pd 0.710 0.125 0.250  0.26
Re 0.000 0.000 0.000  1.76
Re 0.750 0.250 0.500  1.75
Rb 0.250 0.750 0.500  0.02
Rb 0.500 0.500 0.000  0.02



ii.
# RbRePd2

An optimized crystal structure of RbRePd2 (PBE-GGA, the Alexandria database).

Calculated values
SG = No. 225
total magnetic moment = 0.9640 μB per atom

Unit cell a=4.863 b=4.863 c=4.863 alpha=60.00 beta=60.00 gamma=60.00
Each line ends with the local moment (μB).
Positions (direct):
Pd 0.750 0.750 0.750  0.26
Pd 0.250 0.250 0.250  0.26
Rb 0.000 0.000 0.000  0.02
Re 0.500 0.500 0.500  2.85



Verdict on stability: ii comes out at the bottom.



i.
# RbRePd

An optimized crystal structure of RbRePd (PBE-GGA, the Alexandria database).

Calculated values
SG = No. 74
total magnetic moment = 0.0000 μB per atom

Unit cell a=5.433 b=4.713 c=10.513 alpha=90.00 beta=90.00 gamma=90.00
Positions (direct):
Re 0.000 0.250 0.807
Re 0.500 0.750 0.307
Re 0.500 0.250 0.693
Re 0.000 0.750 0.193
Pd 0.000 0.750 0.939
Pd 0.500 0.250 0.439
Pd 0.000 0.250 0.061
Pd 0.500 0.750 0.561
Rb 0.000 0.250 0.392
Rb 0.500 0.750 0.892
Rb 0.000 0.750 0.608
Rb 0.500 0.250 0.108



ii.
# RbRePd

An optimized crystal structure of RbRePd (PBE-GGA, the Alexandria database).

Calculated values
SG = No. 1
total magnetic moment = 0.0000 μB per atom

Unit cell a=4.282 b=4.281 c=12.241 alpha=99.85 beta=90.27 gamma=60.01
Positions (direct):
Rb 0.185 0.431 0.180
Rb 0.371 0.041 0.571
Re 0.609 0.569 0.875
Re 0.276 0.236 0.875
Pd 0.979 0.828 0.759
Pd 0.907 0.977 0.992



iii.
# RbRePd

An optimized crystal structure of RbRePd (PBE-GGA, the Alexandria database).

Calculated values
SG = No. 62
total magnetic moment = 0.0000 μB per atom

Unit cell a=9.495 b=3.230 c=10.566 alpha=90.00 beta=90.00 gamma=90.00
Positions (direct):
Re 0.919 0.250 0.468
Re 0.419 0.250 0.032
Re 0.581 0.750 0.968
Re 0.081 0.750 0.532
Rb 0.433 0.250 0.668
Rb 0.067 0.750 0.168
Rb 0.567 0.750 0.332
Rb 0.933 0.250 0.832
Pd 0.258 0.750 0.896
Pd 0.242 0.250 0.396
Pd 0.742 0.250 0.104
Pd 0.758 0.750 0.604



iv.
# RbRePd

An optimized crystal structure of RbRePd (PBE-GGA, the Alexandria database).

Calculated values
SG = No. 194
total magnetic moment = 0.1404 μB per atom

Unit cell a=4.208 b=4.208 c=11.766 alpha=90.00 beta=90.00 gamma=120.00
Each line ends with the local moment (μB).
Positions (direct):
Rb 0.000 0.000 0.500  0.00
Rb 0.000 0.000 0.000  0.00
Pd 0.667 0.333 0.250  0.04
Pd 0.333 0.667 0.750  0.04
Re 0.333 0.667 0.250  0.30
Re 0.667 0.333 0.750  0.30



Verdict on stability: iv comes out at the bottom.



i.
# RbRePd3

An optimized crystal structure of RbRePd3 (PBE-GGA, the Alexandria database).

Calculated values
SG = No. 221
total magnetic moment = 0.0000 μB per atom

Unit cell a=4.964 b=4.964 c=4.964 alpha=90.00 beta=90.00 gamma=90.00
Positions (direct):
Pd 0.000 0.500 0.000
Pd 0.500 0.000 0.000
Pd 0.000 0.000 0.500
Rb 0.500 0.500 0.500
Re 0.000 0.000 0.000



ii.
# RbRePd3

An optimized crystal structure of RbRePd3 (PBE-GGA, the Alexandria database).

Calculated values
SG = No. 221
total magnetic moment = 0.8973 μB per atom

Unit cell a=5.032 b=5.032 c=5.032 alpha=90.00 beta=90.00 gamma=90.00
Each line ends with the local moment (μB).
Positions (direct):
Rb 0.000 0.000 0.000  -0.02
Pd 0.000 0.500 0.000  0.06
Pd 0.500 0.000 0.000  0.17
Pd 0.000 0.000 0.500  0.07
Re 0.500 0.500 0.500  3.64



Verdict on stability: ii comes out at the bottom.



i.
# Rb2Re2Pd

An optimized crystal structure of Rb2Re2Pd (PBE-GGA, the Alexandria database).

Calculated values
SG = No. 139
total magnetic moment = 0.0000 μB per atom

Unit cell a=3.512 b=3.512 c=11.724 alpha=81.39 beta=81.39 gamma=90.00
Positions (direct):
Re 0.250 0.750 0.500
Re 0.750 0.250 0.500
Pd 0.000 0.000 0.000
Rb 0.604 0.604 0.791
Rb 0.396 0.396 0.209



ii.
# Rb2Re2Pd

An optimized crystal structure of Rb2Re2Pd (PBE-GGA, the Alexandria database).

Calculated values
SG = No. 127
total magnetic moment = 0.0456 μB per atom

Unit cell a=10.529 b=10.529 c=2.793 alpha=90.00 beta=90.00 gamma=90.00
Each line ends with the local moment (μB).
Positions (direct):
Re 0.926 0.426 0.500  0.00
Re 0.574 0.926 0.500  0.00
Re 0.074 0.574 0.500  0.00
Re 0.426 0.074 0.500  0.00
Rb 0.790 0.710 0.000  0.00
Rb 0.290 0.790 0.000  0.00
Rb 0.710 0.210 0.000  0.00
Rb 0.210 0.290 0.000  0.00
Pd 0.000 0.000 0.000  0.23
Pd 0.500 0.500 0.000  0.23



Verdict on stability: ii comes out at the bottom.